# 1
# Sr2LiCd12Ag3

A geometry-optimized Sr2LiCd12Ag3 structure (PBE, the Alexandria database).

Values from the calculation:
crystal system	trigonal
symmetry	R-3m
energy of formation	-0.041	eV per atom
total moment	0.000	μB/atom

Cell lengths 14.5192, 14.5192, 14.5192 Å; angles 24.42, 24.42, 24.42 degrees
Atoms (fractional coordinates):
Sr 0.6459 0.6459 0.6459
Sr 0.3541 0.3541 0.3541
Li 0.0000 0.0000 0.0000
Cd 0.3930 0.3930 0.8731
Cd 0.8881 0.8881 0.3880
Cd 0.3880 0.8881 0.8881
Cd 0.8731 0.3930 0.3930
Cd 0.8881 0.3880 0.8881
Cd 0.3930 0.8731 0.3930
Cd 0.6070 0.6070 0.1269
Cd 0.1119 0.1119 0.6120
Cd 0.6120 0.1119 0.1119
Cd 0.1269 0.6070 0.6070
Cd 0.1119 0.6120 0.1119
Cd 0.6070 0.1269 0.6070
Ag 0.5000 0.0000 0.0000
Ag 0.0000 0.5000 0.0000
Ag 0.0000 0.0000 0.5000

---

# 2
# Sr2LiCd3Ag12

A geometry-optimized Sr2LiCd3Ag12 structure (PBE, the Alexandria database).

Values from the calculation:
crystal system	trigonal
symmetry	R-3m
energy of formation	0.054	eV per atom
total moment	0.000	μB/atom

Cell lengths 10.5930, 10.5930, 10.5930 Å; angles 39.35, 39.35, 39.35 degrees
Atoms (fractional coordinates):
Sr 0.6544 0.6544 0.6544
Sr 0.3456 0.3456 0.3456
Li 0.0000 0.0000 0.0000
Cd 0.5000 0.0000 0.0000
Cd 0.0000 0.5000 0.0000
Cd 0.0000 0.0000 0.5000
Ag 0.4229 0.4229 0.8150
Ag 0.9316 0.9316 0.3394
Ag 0.3394 0.9316 0.9316
Ag 0.8150 0.4229 0.4229
Ag 0.9316 0.3394 0.9316
Ag 0.4229 0.8150 0.4229
Ag 0.5771 0.5771 0.1850
Ag 0.0684 0.0684 0.6606
Ag 0.6606 0.0684 0.0684
Ag 0.1850 0.5771 0.5771
Ag 0.0684 0.6606 0.0684
Ag 0.5771 0.1850 0.5771

---

# 3
# SrLiCd2Ag

A geometry-optimized SrLiCd2Ag structure (PBE, the Alexandria database).

Values from the calculation:
crystal system	tetragonal
symmetry	P4/mmm
ΔE to the lowest computed polymorph	0.142	eV per atom
energy of formation	-0.114	eV per atom
total moment	0.000	μB/atom

Cell lengths 5.0498, 5.0498, 4.9588 Å; angles 90.00, 90.00, 90.00 degrees
Atoms (fractional coordinates):
Sr 0.5000 0.5000 0.5000
Li 0.0000 0.0000 0.0000
Ag 0.0000 0.0000 0.5000
Cd 0.0000 0.5000 0.0000
Cd 0.5000 0.0000 0.0000